[1]
A relaxed structure of AlVNi4, computed with GGA-PBE.

a = 4.7176 Å, b = 4.7176 Å, c = 4.1021 Å
α = 115.43°, β = 115.43°, γ = 93.21°
Sites, in units of the cell vectors:
1 Al 0.0000 0.0000 0.0000
2 V 0.5000 0.5000 0.5000
3 Ni 0.0807 0.4210 0.7508
4 Ni 0.4210 0.0807 0.7508
5 Ni 0.5790 0.9193 0.2492
6 Ni 0.9193 0.5790 0.2492

Values from the calculation:
DFT formation energy: -158 meV per atom
crystal system: monoclinic

***

[2]
A relaxed structure of Al2V2Ni, computed with GGA-PBE.

a = 7.4592 Å, b = 7.4592 Å, c = 7.4592 Å
α = 156.24°, β = 156.24°, γ = 33.85°
Sites, in units of the cell vectors:
1 Al 0.0957 0.0957 0.0000
2 Al 0.9043 0.9043 0.0000
3 V 0.2891 0.2891 0.0000
4 V 0.7109 0.7109 0.0000
5 Ni 0.5000 0.5000 0.0000

Values from the calculation:
DFT formation energy: -364 meV per atom
crystal system: tetragonal

***

[3]
A relaxed structure of Al2VNi, computed with GGA-PBE.

a = 3.8813 Å, b = 3.8813 Å, c = 3.5239 Å
α = 90.00°, β = 90.00°, γ = 90.00°
Sites, in units of the cell vectors:
1 Al 0.0000 0.5000 0.0000
2 Al 0.5000 0.0000 0.0000
3 V 0.0000 0.0000 0.5000
4 Ni 0.5000 0.5000 0.5000

Values from the calculation:
DFT formation energy: -374 meV per atom
crystal system: tetragonal

***

[4]
A relaxed structure of AlVNi, computed with GGA-PBE.

a = 6.8939 Å, b = 6.8939 Å, c = 6.8939 Å
α = 158.65°, β = 158.65°, γ = 30.37°
Sites, in units of the cell vectors:
1 Al 0.0000 0.0000 0.0000
2 V 0.3519 0.3519 0.0000
3 Ni 0.1815 0.1815 0.0000

Values from the calculation:
DFT formation energy: 299 meV per atom
crystal system: tetragonal

***

[5]
A relaxed structure of AlVNi5, computed with GGA-PBE.

a = 3.5694 Å, b = 3.5694 Å, c = 6.7386 Å
α = 90.00°, β = 90.00°, γ = 90.00°
Sites, in units of the cell vectors:
1 Al 0.0000 0.0000 0.0000
2 V 0.5000 0.5000 0.5000
3 Ni 0.0000 0.5000 0.2678
4 Ni 0.0000 0.5000 0.7322
5 Ni 0.5000 0.0000 0.2678
6 Ni 0.5000 0.0000 0.7322
7 Ni 0.5000 0.5000 0.0000

Values from the calculation:
DFT formation energy: -83 meV per atom
crystal system: tetragonal

***

[6]
A relaxed structure of AlVNi4, computed with GGA-PBE.

a = 4.4523 Å, b = 4.4523 Å, c = 6.7728 Å
α = 112.35°, β = 112.35°, γ = 34.31°
Sites, in units of the cell vectors:
1 Al 0.0000 0.0000 0.0000
2 V 0.0000 0.0000 0.5000
3 Ni 0.3300 0.3300 0.6667
4 Ni 0.3380 0.3380 0.1666
5 Ni 0.6620 0.6620 0.8334
6 Ni 0.6700 0.6700 0.3333

Values from the calculation:
DFT formation energy: -332 meV per atom
crystal system: monoclinic

***

[7]
A relaxed structure of AlV2Ni8, computed with GGA-PBE.

a = 6.9818 Å, b = 6.9818 Å, c = 4.3746 Å
α = 108.08°, β = 108.08°, γ = 124.16°
Sites, in units of the cell vectors:
1 Al 0.0000 0.0000 0.0000
2 V 0.3160 0.6840 0.5000
3 V 0.6840 0.3160 0.5000
4 Ni 0.1039 0.3760 0.7369
5 Ni 0.1952 0.8048 0.0000
6 Ni 0.3760 0.1039 0.7369
7 Ni 0.4926 0.4926 0.2460
8 Ni 0.5074 0.5074 0.7540
9 Ni 0.6240 0.8961 0.2631
10 Ni 0.8048 0.1952 0.0000
11 Ni 0.8961 0.6240 0.2631

Values from the calculation:
DFT formation energy: -94 meV per atom
crystal system: monoclinic

***

[8]
A relaxed structure of Al2VNi6, computed with GGA-PBE.

a = 7.1403 Å, b = 7.1403 Å, c = 2.5549 Å
α = 90.72°, β = 90.72°, γ = 56.56°
Sites, in units of the cell vectors:
1 Al 0.1906 0.1906 0.4954
2 Al 0.8094 0.8094 0.5046
3 V 0.5000 0.5000 0.0000
4 Ni 0.1554 0.5281 0.0007
5 Ni 0.1798 0.8202 0.5000
6 Ni 0.4719 0.8446 0.9993
7 Ni 0.5281 0.1554 0.0007
8 Ni 0.8202 0.1798 0.5000
9 Ni 0.8446 0.4719 0.9993

Values from the calculation:
DFT formation energy: -205 meV per atom
crystal system: monoclinic

***

[9]
A relaxed structure of Al3V12Ni, computed with GGA-PBE.

a = 4.7412 Å, b = 4.7646 Å, c = 9.6028 Å
α = 90.00°, β = 90.00°, γ = 90.00°
Sites, in units of the cell vectors:
1 Al 0.0000 0.0000 0.0000
2 Al 0.5000 0.5000 0.2506
3 Al 0.5000 0.5000 0.7494
4 V 0.0000 0.5000 0.1312
5 V 0.0000 0.5000 0.3833
6 V 0.0000 0.5000 0.6167
7 V 0.0000 0.5000 0.8688
8 V 0.2458 0.0000 0.2562
9 V 0.2458 0.0000 0.7438
10 V 0.5000 0.2457 0.5000
11 V 0.5000 0.2608 0.0000
12 V 0.5000 0.7392 0.0000
13 V 0.5000 0.7543 0.5000
14 V 0.7542 0.0000 0.2562
15 V 0.7542 0.0000 0.7438
16 Ni 0.0000 0.0000 0.5000

Values from the calculation:
DFT formation energy: -148 meV per atom
crystal system: orthorhombic

***

[10]
A relaxed structure of Al2VNi, computed with GGA-PBE.

a = 2.7545 Å, b = 2.7545 Å, c = 6.9532 Å
α = 90.00°, β = 90.00°, γ = 90.00°
Sites, in units of the cell vectors:
1 Al 0.0000 0.0000 0.2234
2 Al 0.0000 0.0000 0.7766
3 V 0.5000 0.5000 0.5000
4 Ni 0.5000 0.5000 0.0000

Values from the calculation:
DFT formation energy: -439 meV per atom
crystal system: tetragonal

***

[11]
A relaxed structure of AlVNi, computed with GGA-PBE.

a = 6.4710 Å, b = 6.4710 Å, c = 3.9325 Å
α = 90.00°, β = 90.00°, γ = 152.59°
Sites, in units of the cell vectors:
1 Al 0.0802 0.9198 0.7500
2 Al 0.9198 0.0802 0.2500
3 V 0.2456 0.7544 0.2500
4 V 0.7544 0.2456 0.7500
5 Ni 0.4183 0.5817 0.7500
6 Ni 0.5817 0.4183 0.2500

Values from the calculation:
DFT formation energy: -418 meV per atom
crystal system: orthorhombic

***

[12]
A relaxed structure of Al4VNi15, computed with GGA-PBE.

a = 3.5581 Å, b = 3.5581 Å, c = 17.8330 Å
α = 90.00°, β = 90.00°, γ = 90.00°
Sites, in units of the cell vectors:
1 Al 0.0000 0.0000 0.1001
2 Al 0.0000 0.0000 0.2989
3 Al 0.0000 0.0000 0.7011
4 Al 0.0000 0.0000 0.8999
5 V 0.0000 0.0000 0.5000
6 Ni 0.0000 0.5000 0.0000
7 Ni 0.0000 0.5000 0.2003
8 Ni 0.0000 0.5000 0.4023
9 Ni 0.0000 0.5000 0.5977
10 Ni 0.0000 0.5000 0.7997
11 Ni 0.5000 0.0000 0.0000
12 Ni 0.5000 0.0000 0.2003
13 Ni 0.5000 0.0000 0.4023
14 Ni 0.5000 0.0000 0.5977
15 Ni 0.5000 0.0000 0.7997
16 Ni 0.5000 0.5000 0.1006
17 Ni 0.5000 0.5000 0.3010
18 Ni 0.5000 0.5000 0.5000
19 Ni 0.5000 0.5000 0.6990
20 Ni 0.5000 0.5000 0.8994

Values from the calculation:
DFT formation energy: -407 meV per atom
crystal system: tetragonal